(1)
First-principles (PBE) data for a relaxed ThPa4Se5 crystal, as listed in the Alexandria database.

Geometry as POSCAR:
```
ThPa4Se5
1.0
3.789 0.000 0.866
1.590 6.989 1.768
-0.093 -0.023 9.136
Th Pa Se
1 4 5
Direct
0.000 0.000 0.000 Th
0.596 0.206 0.602 Pa
0.202 0.390 0.206 Pa
0.798 0.610 0.794 Pa
0.404 0.794 0.398 Pa
0.201 0.906 0.692 Se
0.799 0.094 0.308 Se
0.394 0.313 0.899 Se
0.000 0.500 0.500 Se
0.606 0.687 0.101 Se
```

- SG: No. 12
- Total DFT energy (no corrections): -0.27742 hartree per atom
- Size of the total moment: 2.0 μB per cell
- DOS(E_F): 1.727 states/eV per atom

---

(2)
First-principles (PBE) data for a relaxed CsAgP2F crystal, as listed in the Alexandria database.

Geometry as POSCAR:
```
CsAgP2F
1.0
5.806 0.000 0.000
0.000 6.548 0.000
0.000 0.000 5.806
Cs P Ag F
1 2 1 1
Direct
0.000 0.000 0.000 Cs
0.000 0.000 0.500 P
0.500 0.000 0.000 P
0.000 0.500 0.000 Ag
0.500 0.500 0.500 F
```

- SG: No. 123
- Total DFT energy (no corrections): -0.06352 hartree per atom
- Size of the total moment: 3.9 μB per cell
- DOS(E_F): 1.029 states/eV per atom

---

(3)
First-principles (PBE) data for a relaxed MgFePb2 crystal, as listed in the Alexandria database.

Geometry as POSCAR:
```
MgFePb2
1.0
3.220 0.000 0.000
0.000 3.219 0.000
0.000 0.000 9.158
Fe Mg Pb
1 1 2
Direct
0.000 0.000 0.525 Fe
0.500 0.500 0.698 Mg
0.000 0.000 0.966 Pb
0.500 0.500 0.312 Pb
```

- SG: No. 99
- Total DFT energy (no corrections): -0.15039 hartree per atom
- Size of the total moment: 2.5 μB per cell
- DOS(E_F): 0.665 states/eV per atom

---

(4)
First-principles (PBE) data for a relaxed CaZnSiPd3 crystal, as listed in the Alexandria database.

Geometry as POSCAR:
```
CaZnSiPd3
1.0
-3.365 1.391 4.382
-3.894 -3.678 -1.823
5.205 -3.726 5.179
Ca Zn Si Pd
2 2 2 6
Direct
0.750 0.298 0.597 Ca
0.250 0.702 0.403 Ca
0.250 0.393 0.785 Zn
0.750 0.607 0.215 Zn
0.250 0.082 0.163 Si
0.750 0.918 0.837 Si
0.250 0.232 0.464 Pd
0.000 0.254 0.000 Pd
0.500 0.746 0.000 Pd
0.500 0.254 0.000 Pd
0.000 0.746 0.000 Pd
0.750 0.768 0.536 Pd
```

- SG: No. 63
- Total DFT energy (no corrections): -0.16689 hartree per atom
- Size of the total moment: 0.0 μB per cell
- DOS(E_F): 0.280 states/eV per atom

---

(5)
First-principles (PBE) data for a relaxed InAg2F6 crystal, as listed in the Alexandria database.

Geometry as POSCAR:
```
InAg2F6
1.0
5.904 0.000 0.229
0.000 5.566 0.000
-0.388 0.000 9.340
In Ag F
2 4 12
Direct
0.500 0.500 0.000 In
0.000 0.000 0.500 In
0.988 0.449 0.805 Ag
0.512 0.949 0.695 Ag
0.488 0.051 0.305 Ag
0.012 0.551 0.195 Ag
0.833 0.837 0.319 F
0.850 0.750 0.640 F
0.802 0.690 0.968 F
0.698 0.190 0.532 F
0.650 0.250 0.860 F
0.667 0.337 0.181 F
0.167 0.163 0.681 F
0.150 0.250 0.360 F
0.198 0.310 0.032 F
0.302 0.810 0.468 F
0.350 0.750 0.140 F
0.333 0.663 0.819 F
```

- SG: No. 14
- Total DFT energy (no corrections): -0.14284 hartree per atom
- E above lowest polymorph: 21.7 meV/atom
- Size of the total moment: 2.1 μB per cell
- DOS(E_F): 0.378 states/eV per atom

---

(6)
First-principles (PBE) data for a relaxed TeO crystal, as listed in the Alexandria database.

Geometry as POSCAR:
```
TeO
1.0
-5.067 8.534 -3.119
-5.394 -5.699 -6.830
-2.473 -0.578 2.435
Te O
8 8
Direct
0.748 0.411 0.500 Te
0.252 0.589 0.500 Te
0.589 0.748 0.500 Te
0.411 0.252 0.500 Te
0.964 0.813 0.000 Te
0.036 0.187 0.000 Te
0.187 0.964 0.000 Te
0.813 0.036 0.000 Te
0.762 0.700 0.500 O
0.238 0.300 0.500 O
0.300 0.762 0.500 O
0.700 0.238 0.500 O
0.849 0.407 0.000 O
0.151 0.593 0.000 O
0.593 0.849 0.000 O
0.407 0.151 0.000 O
```

- SG: No. 83
- Total DFT energy (no corrections): -0.16526 hartree per atom
- E above lowest polymorph: 95.2 meV/atom
- Size of the total moment: 0.0 μB per cell
- DOS(E_F): 0.531 states/eV per atom

---

(7)
First-principles (PBE) data for a relaxed ScZnSe3 crystal, as listed in the Alexandria database.

Geometry as POSCAR:
```
ScZnSe3
1.0
-4.768 -1.044 -0.071
0.452 -2.355 4.252
-0.943 4.146 2.397
Sc Zn Se
1 1 3
Direct
0.500 0.500 0.500 Sc
0.000 0.000 0.000 Zn
0.000 0.500 0.000 Se
0.000 0.000 0.500 Se
0.500 0.000 0.000 Se
```

- SG: No. 221
- Total DFT energy (no corrections): -0.13902 hartree per atom
- E above lowest polymorph: 94.5 meV/atom
- Size of the total moment: 0.0 μB per cell
- DOS(E_F): 0.607 states/eV per atom

---

(8)
First-principles (PBE) data for a relaxed Tm5Pt2Rh2 crystal, as listed in the Alexandria database.

Geometry as POSCAR:
```
Tm5Pt2Rh2
1.0
-4.231 -5.893 1.509
3.122 -3.662 -5.547
3.554 -0.679 7.310
Tm Pt Rh
10 4 4
Direct
0.000 0.000 0.000 Tm
0.500 0.500 0.000 Tm
0.832 0.807 0.272 Tm
0.168 0.465 0.272 Tm
0.332 0.965 0.272 Tm
0.668 0.307 0.272 Tm
0.168 0.193 0.728 Tm
0.832 0.535 0.728 Tm
0.668 0.035 0.728 Tm
0.332 0.693 0.728 Tm
0.000 0.203 0.406 Pt
0.500 0.703 0.406 Pt
0.000 0.797 0.594 Pt
0.500 0.297 0.594 Pt
0.631 0.867 0.000 Rh
0.369 0.133 0.000 Rh
0.131 0.633 0.000 Rh
0.869 0.367 0.000 Rh
```

- SG: No. 64
- Total DFT energy (no corrections): -0.23907 hartree per atom
- Size of the total moment: 0.0 μB per cell
- DOS(E_F): 0.465 states/eV per atom

---

(9)
First-principles (PBE) data for a relaxed LiPrEuLu crystal, as listed in the Alexandria database.

Geometry as POSCAR:
```
LiPrEuLu
1.0
5.655 0.000 0.000
2.828 4.898 0.000
2.828 1.633 4.617
Eu Pr Lu Li
1 1 1 1
Direct
0.500 0.500 0.500 Eu
0.000 0.000 0.000 Pr
0.250 0.250 0.250 Lu
0.750 0.750 0.750 Li
```

- SG: No. 216
- Total DFT energy (no corrections): -0.19080 hartree per atom
- Size of the total moment: 7.2 μB per cell
- DOS(E_F): 1.323 states/eV per atom

---

(10)
First-principles (PBE) data for a relaxed Ta2TlTc crystal, as listed in the Alexandria database.

Geometry as POSCAR:
```
Ta2TlTc
1.0
4.074 0.000 0.000
0.000 4.085 0.000
0.000 0.000 4.300
Ta Tc Tl
2 1 1
Direct
0.000 0.000 0.000 Ta
0.500 0.500 0.000 Ta
0.500 0.000 0.500 Tc
0.000 0.500 0.500 Tl
```

- SG: No. 47
- Total DFT energy (no corrections): -0.32359 hartree per atom
- E above lowest polymorph: 130.3 meV/atom
- Size of the total moment: 0.0 μB per cell
- DOS(E_F): 0.619 states/eV per atom

---

(11)
First-principles (PBE) data for a relaxed Cd2InIF crystal, as listed in the Alexandria database.

Geometry as POSCAR:
```
Cd2InIF
1.0
4.788 0.000 0.000
0.000 6.998 0.000
0.000 0.000 4.788
I F Cd In
1 1 2 1
Direct
0.000 0.500 0.000 I
0.000 0.000 0.000 F
0.000 0.000 0.500 Cd
0.500 0.000 0.000 Cd
0.500 0.500 0.500 In
```

- SG: No. 123
- Total DFT energy (no corrections): -0.07538 hartree per atom
- Size of the total moment: 0.0 μB per cell
- DOS(E_F): 0.366 states/eV per atom

---

(12)
First-principles (PBE) data for a relaxed NaHg3Bi crystal, as listed in the Alexandria database.

Geometry as POSCAR:
```
NaHg3Bi
1.0
4.756 -0.619 1.389
0.565 4.978 0.281
-0.759 -0.528 10.924
Na Hg Bi
2 6 2
Direct
0.358 0.344 0.009 Na
0.053 0.845 0.606 Na
0.155 0.345 0.401 Hg
0.955 0.344 0.809 Hg
0.653 0.845 0.406 Hg
0.758 0.344 0.209 Hg
0.256 0.844 0.213 Hg
0.456 0.845 0.806 Hg
0.866 0.843 0.995 Bi
0.546 0.345 0.620 Bi
```

- SG: No. 2
- Total DFT energy (no corrections): -0.04926 hartree per atom
- E above lowest polymorph: 0.0 meV/atom
- Size of the total moment: 0.0 μB per cell
- DOS(E_F): 0.178 states/eV per atom

---

(13)
First-principles (PBE) data for a relaxed PICl crystal, as listed in the Alexandria database.

Geometry as POSCAR:
```
PICl
1.0
3.315 -0.729 -0.319
-2.529 11.791 -2.421
-2.137 3.527 5.735
P I Cl
2 2 2
Direct
0.364 0.617 0.785 P
0.032 0.558 0.039 P
0.950 0.088 0.163 I
0.451 0.088 0.663 I
0.367 0.717 0.151 Cl
0.034 0.459 0.673 Cl
```

- SG: No. 1
- Total DFT energy (no corrections): -0.11475 hartree per atom
- E above lowest polymorph: 118.4 meV/atom
- Size of the total moment: 0.0 μB per cell
- DOS(E_F): 0.330 states/eV per atom

---

(14)
First-principles (PBE) data for a relaxed Tb2HoRh4 crystal, as listed in the Alexandria database.

Geometry as POSCAR:
```
Tb2HoRh4
1.0
4.644 0.000 -1.480
-0.472 4.620 -1.480
-0.329 -0.364 6.993
Tb Ho Rh
2 1 4
Direct
0.720 0.720 0.441 Tb
0.280 0.280 0.559 Tb
0.000 0.000 0.000 Ho
0.379 0.879 0.759 Rh
0.879 0.379 0.759 Rh
0.621 0.121 0.241 Rh
0.121 0.621 0.241 Rh
```

- SG: No. 139
- Total DFT energy (no corrections): -0.24637 hartree per atom
- Size of the total moment: 0.0 μB per cell
- DOS(E_F): 0.414 states/eV per atom

---

(15)
First-principles (PBE) data for a relaxed DyInBi crystal, as listed in the Alexandria database.

Geometry as POSCAR:
```
DyInBi
1.0
4.424 0.000 0.000
0.000 9.230 0.000
0.000 0.000 9.230
In Dy Bi
4 4 4
Direct
0.500 0.614 0.105 In
0.500 0.386 0.895 In
0.000 0.105 0.386 In
0.000 0.895 0.614 In
0.500 0.717 0.436 Dy
0.000 0.564 0.717 Dy
0.000 0.436 0.283 Dy
0.500 0.283 0.564 Dy
0.500 0.177 0.176 Bi
0.000 0.824 0.177 Bi
0.000 0.176 0.823 Bi
0.500 0.823 0.824 Bi
```

- SG: No. 84
- Total DFT energy (no corrections): -0.14424 hartree per atom
- Size of the total moment: 0.0 μB per cell
- DOS(E_F): 0.647 states/eV per atom

---

(16)
First-principles (PBE) data for a relaxed IrRuCl2 crystal, as listed in the Alexandria database.

Geometry as POSCAR:
```
IrRuCl2
1.0
4.164 0.000 0.000
0.000 3.017 0.007
0.000 -0.354 5.019
Ru Ir Cl
1 1 2
Direct
0.500 0.750 0.750 Ru
0.500 0.250 0.250 Ir
0.000 0.995 0.998 Cl
0.000 0.505 0.502 Cl
```

- SG: No. 10
- Total DFT energy (no corrections): -0.17165 hartree per atom
- E above lowest polymorph: 741.2 meV/atom
- Size of the total moment: 0.0 μB per cell
- DOS(E_F): 1.015 states/eV per atom

---

(17)
First-principles (PBE) data for a relaxed ScNi12B6 crystal, as listed in the Alexandria database.

Geometry as POSCAR:
```
ScNi12B6
1.0
-2.120 4.951 -2.611
-4.270 -1.613 3.870
4.508 1.917 3.438
Sc Ni B
1 12 6
Direct
0.000 0.000 0.000 Sc
0.870 0.130 0.500 Ni
0.815 0.552 0.552 Ni
0.552 0.552 0.815 Ni
0.448 0.185 0.448 Ni
0.448 0.448 0.185 Ni
0.185 0.448 0.448 Ni
0.130 0.500 0.870 Ni
0.500 0.870 0.130 Ni
0.130 0.870 0.500 Ni
0.870 0.500 0.130 Ni
0.500 0.130 0.870 Ni
0.552 0.815 0.552 Ni
0.678 0.238 0.238 B
0.238 0.238 0.678 B
0.238 0.678 0.238 B
0.762 0.762 0.322 B
0.322 0.762 0.762 B
0.762 0.322 0.762 B
```

- SG: No. 166
- Total DFT energy (no corrections): -0.23668 hartree per atom
- Size of the total moment: 0.0 μB per cell
- DOS(E_F): 0.429 states/eV per atom

---

(18)
First-principles (PBE) data for a relaxed Pa2Al3W crystal, as listed in the Alexandria database.

Geometry as POSCAR:
```
Pa2Al3W
1.0
-0.389 -5.281 0.837
4.809 2.369 0.009
-1.721 3.489 4.021
Pa Al W
2 3 1
Direct
0.726 0.364 0.089 Pa
0.274 0.636 0.911 Pa
0.500 0.500 0.500 Al
0.000 0.000 0.500 Al
0.500 0.000 0.500 Al
0.000 0.000 0.000 W
```

- SG: No. 166
- Total DFT energy (no corrections): -0.27214 hartree per atom
- Size of the total moment: 0.0 μB per cell
- DOS(E_F): 1.405 states/eV per atom

---

(19)
First-principles (PBE) data for a relaxed K2PuScS4 crystal, as listed in the Alexandria database.

Geometry as POSCAR:
```
K2PuScS4
1.0
-1.763 -2.442 -2.616
-2.474 -3.790 5.205
-5.187 5.421 -1.565
K Pu Sc S
2 1 1 4
Direct
0.500 0.000 0.500 K
0.000 0.500 0.500 K
0.500 0.500 0.000 Pu
0.000 0.000 0.000 Sc
0.500 0.219 0.194 S
0.500 0.781 0.806 S
0.000 0.254 0.802 S
0.000 0.746 0.198 S
```

- SG: No. 10
- Total DFT energy (no corrections): -0.24148 hartree per atom
- Size of the total moment: 5.0 μB per cell
- DOS(E_F): 1.290 states/eV per atom

---

(20)
First-principles (PBE) data for a relaxed NdSmGaOs crystal, as listed in the Alexandria database.

Geometry as POSCAR:
```
NdSmGaOs
1.0
-2.026 4.614 -0.539
-3.204 1.785 3.498
1.438 3.773 3.064
Nd Os Ga Sm
1 1 1 1
Direct
0.000 0.000 0.000 Nd
0.750 0.750 0.750 Os
0.250 0.250 0.250 Ga
0.500 0.500 0.500 Sm
```

- SG: No. 216
- Total DFT energy (no corrections): -0.22579 hartree per atom
- Size of the total moment: 0.0 μB per cell
- DOS(E_F): 0.598 states/eV per atom